Record 1
A plane-wave DFT calculation with GGA-PBE was carried out for an optimized crystal structure of SrAc2Re2N6.

```
SrAc2Re2N6
1.0
2.9832 1.7224 6.4694
-2.9832 1.7224 6.4694
0.0000 -3.4447 6.4694
Sr Ac Re N
1 2 2 6
Cartesian
0.0000 0.0000 0.0000 Sr
0.0000 0.0000 4.0656 Ac
0.0000 0.0000 15.3425 Ac
0.0000 0.0000 7.9106 Re
0.0000 0.0000 11.4976 Re
-1.4936 -0.8623 10.9951 N
0.0000 -1.7246 8.4131 N
-1.4936 0.8623 8.4131 N
1.4936 -0.8623 10.9951 N
0.0000 1.7246 10.9951 N
1.4936 0.8623 8.4131 N
```

Results
ΔE_f (raw)	-0.695	eV/atom

Record 2
A plane-wave DFT calculation with GGA-PBE was carried out for an optimized crystal structure of SrAcReN4.

```
SrAcReN4
1.0
6.2427 0.0000 0.0000
0.0000 5.9708 0.0000
-2.0748 0.0000 7.0231
Sr Ac Re N
2 2 2 8
Cartesian
0.4506 1.4927 3.0174 Sr
3.7173 4.4781 4.0058 Sr
-0.1928 1.4927 6.6984 Ac
4.3607 4.4781 0.3248 Ac
1.1916 4.4781 1.4227 Re
2.9763 1.4927 5.6004 Re
-0.3441 4.4781 2.4303 N
-1.3997 4.4781 6.6906 N
2.2741 3.0197 1.7040 N
2.2741 5.9365 1.7040 N
1.8938 0.0343 5.3192 N
1.8938 2.9511 5.3192 N
5.5676 1.4927 0.3326 N
4.5120 1.4927 4.5929 N
```

Results
ΔE_f (raw)	-0.829	eV/atom

Record 3
A plane-wave DFT calculation with GGA-PBE was carried out for an optimized crystal structure of Sr2AcRe2N6.

```
Sr2AcRe2N6
1.0
5.4375 -3.1302 0.0000
5.4375 3.1302 0.0000
-4.0101 0.0000 6.1065
Sr Ac Re N
2 1 2 6
Cartesian
1.6446 0.0000 1.0062 Sr
5.2202 0.0000 5.1003 Sr
-2.0051 0.0000 3.0533 Ac
1.9437 0.0000 4.9231 Re
4.9211 0.0000 1.1834 Re
3.8392 1.4753 1.1688 N
0.6066 0.0000 3.7256 N
3.0256 1.4753 4.9377 N
3.8392 -1.4753 1.1688 N
6.2583 0.0000 2.3810 N
3.0256 -1.4753 4.9377 N
```

Results
ΔE_f (raw)	-0.678	eV/atom

Record 4
A plane-wave DFT calculation with GGA-PBE was carried out for an optimized crystal structure of Sr2AcReN4.

```
Sr2AcReN4
1.0
1.7970 -6.2962 0.0000
1.7970 6.2962 0.0000
0.0000 0.0000 12.9108
Sr Ac Re N
4 2 2 8
Cartesian
1.7970 4.6709 6.9135 Sr
1.7970 4.6709 12.4527 Sr
1.7970 -4.6709 0.4581 Sr
1.7970 -4.6709 5.9973 Sr
1.7970 0.8703 9.6831 Ac
1.7970 -0.8703 3.2277 Ac
1.7970 2.3413 3.2277 Re
1.7970 -2.3413 9.6831 Re
1.7970 5.0571 9.6831 N
1.7970 3.4032 1.7623 N
1.7970 3.4032 4.6931 N
1.7970 0.0000 0.0000 N
1.7970 0.0000 6.4554 N
1.7970 -3.4032 8.2177 N
1.7970 -3.4032 11.1485 N
1.7970 -5.0571 3.2277 N
```

Results
ΔE_f (raw)	-0.560	eV/atom

Record 5
A plane-wave DFT calculation with GGA-PBE was carried out for an optimized crystal structure of Ac2TaReN6.

```
Ac2TaReN6
1.0
2.9120 1.6813 9.6493
-2.9120 1.6813 9.6493
0.0000 -3.3625 9.6493
Ac Ta Re N
4 2 2 12
Cartesian
0.0000 0.0000 3.8630 Ac
0.0000 0.0000 8.0996 Ac
0.0000 0.0000 20.8482 Ac
0.0000 0.0000 25.0848 Ac
0.0000 0.0000 11.7363 Ta
0.0000 0.0000 17.2115 Ta
0.0000 0.0000 0.0000 Re
0.0000 0.0000 14.4739 Re
-1.4005 -0.8086 13.2684 N
0.0000 -1.7351 10.7912 N
-1.5026 0.8675 10.7912 N
-1.5026 -0.8675 18.1567 N
0.0000 -1.6171 15.6794 N
-1.4005 0.8086 15.6794 N
1.4005 -0.8086 13.2684 N
0.0000 1.6171 13.2684 N
1.5026 0.8675 10.7912 N
1.5026 -0.8675 18.1566 N
0.0000 1.7351 18.1566 N
1.4005 0.8086 15.6795 N
```

Results
ΔE_f (raw)	-0.816	eV/atom

Record 6
A plane-wave DFT calculation with GGA-PBE was carried out for an optimized crystal structure of AcTbReN4.

```
AcTbReN4
1.0
2.7674 -6.4563 0.0000
2.7674 6.4563 0.0000
0.0000 0.0000 5.5448
Ac Tb Re N
2 2 2 8
Cartesian
2.7674 5.1316 4.1586 Ac
2.7674 -5.1316 1.3862 Ac
2.7674 1.2944 4.1586 Tb
2.7674 -1.2944 1.3862 Tb
2.7674 3.2521 1.3862 Re
2.7674 -3.2521 4.1586 Re
1.3837 3.2282 0.0000 N
1.3837 3.2282 2.7724 N
2.7674 5.2883 1.3862 N
2.7674 1.0001 1.3862 N
1.3837 -3.2282 0.0000 N
1.3837 -3.2282 2.7724 N
2.7674 -1.0001 4.1586 N
2.7674 -5.2883 4.1586 N
```

Results
ΔE_f (raw)	-0.849	eV/atom

Record 7
A plane-wave DFT calculation with GGA-PBE was carried out for an optimized crystal structure of AcTb2ReN4.

```
AcTb2ReN4
1.0
1.7716 -6.0302 0.0000
1.7716 6.0302 0.0000
0.0000 0.0000 12.0018
Ac Tb Re N
2 4 2 8
Cartesian
1.7716 5.0493 9.0013 Ac
1.7716 -5.0493 3.0004 Ac
1.7716 1.5764 6.5040 Tb
1.7716 1.5764 11.4987 Tb
1.7716 -1.5764 0.5031 Tb
1.7716 -1.5764 5.4978 Tb
1.7716 3.9174 3.0004 Re
1.7716 -3.9174 9.0013 Re
0.0000 0.0000 0.0000 N
0.0000 0.0000 6.0009 N
1.7716 2.8866 1.3848 N
1.7716 2.8866 4.6161 N
1.7716 1.0793 9.0013 N
1.7716 -1.0793 3.0004 N
1.7716 -2.8866 7.3857 N
1.7716 -2.8866 10.6170 N
```

Results
ΔE_f (raw)	-1.003	eV/atom

Record 8
A plane-wave DFT calculation with GGA-PBE was carried out for an optimized crystal structure of Ac2TbRe2N6.

```
Ac2TbRe2N6
1.0
2.9577 1.7077 6.1673
-2.9577 1.7077 6.1673
0.0000 -3.4153 6.1673
Ac Tb Re N
2 1 2 6
Cartesian
0.0000 0.0000 3.9268 Ac
0.0000 0.0000 14.5750 Ac
0.0000 0.0000 0.0000 Tb
0.0000 0.0000 7.4231 Re
0.0000 0.0000 11.0787 Re
-1.5118 -0.8728 10.5950 N
0.0000 -1.7457 7.9068 N
-1.5118 0.8728 7.9068 N
1.5118 -0.8728 10.5950 N
0.0000 1.7457 10.5950 N
1.5118 0.8728 7.9068 N
```

Results
ΔE_f (raw)	-0.784	eV/atom

Record 9
A plane-wave DFT calculation with GGA-PBE was carried out for an optimized crystal structure of Ac4Re3TcN12.

```
Ac4Re3TcN12
1.0
-4.0160 4.0160 4.0160
4.0160 -4.0160 4.0160
4.0160 4.0160 -4.0160
Ac Re Tc N
4 3 1 12
Cartesian
2.0080 2.0080 -2.0080 Ac
2.0080 -2.0080 2.0080 Ac
-2.0080 2.0080 2.0080 Ac
2.0080 2.0080 2.0080 Ac
4.0160 0.0000 0.0000 Re
0.0000 4.0160 0.0000 Re
0.0000 0.0000 4.0160 Re
0.0000 0.0000 0.0000 Tc
2.0281 0.0000 0.0000 N
6.0039 0.0000 0.0000 N
4.0160 2.0080 0.0000 N
4.0160 0.0000 2.0080 N
0.0000 2.0281 0.0000 N
0.0000 0.0000 2.0281 N
2.0080 4.0160 0.0000 N
2.0080 0.0000 4.0160 N
0.0000 6.0039 0.0000 N
0.0000 0.0000 6.0039 N
0.0000 4.0160 2.0080 N
0.0000 2.0080 4.0160 N
```

Results
ΔE_f (raw)	-0.679	eV/atom

Record 10
A plane-wave DFT calculation with GGA-PBE was carried out for an optimized crystal structure of AcTh2ReN5.

```
AcTh2ReN5
1.0
-3.4538 3.4538 5.8996
3.4538 -3.4538 5.8996
3.4538 3.4538 -5.8996
Ac Th Re N
2 4 2 10
Cartesian
0.0000 0.0000 2.9498 Ac
0.0000 0.0000 8.8494 Ac
4.6920 1.2382 0.0000 Th
1.2382 2.2156 0.0000 Th
2.2156 1.2382 5.8996 Th
-1.2382 2.2156 5.8996 Th
3.4538 0.0000 2.9498 Re
0.0000 3.4538 2.9498 Re
0.0000 0.0000 0.0000 N
2.4653 0.9885 -1.6305 N
2.4653 -0.9885 4.2691 N
2.4653 0.9885 1.6305 N
2.4653 -0.9885 7.5301 N
0.0000 0.0000 5.8996 N
0.9885 4.4423 -1.6305 N
0.9885 2.4653 4.2691 N
0.9885 4.4423 1.6305 N
0.9885 2.4653 7.5301 N
```

Results
ΔE_f (raw)	-1.148	eV/atom

Record 11
A plane-wave DFT calculation with GGA-PBE was carried out for an optimized crystal structure of AcThReN4.

```
AcThReN4
1.0
2.7721 -6.5957 0.0000
2.7721 6.5957 0.0000
0.0000 0.0000 5.5688
Ac Th Re N
2 2 2 8
Cartesian
2.7721 5.2492 4.1766 Ac
2.7721 -5.2492 1.3922 Ac
2.7721 1.3759 4.1766 Th
2.7721 -1.3759 1.3922 Th
2.7721 3.3492 1.3922 Re
2.7721 -3.3492 4.1766 Re
1.3861 3.2979 0.0000 N
1.3861 3.2979 2.7844 N
2.7721 5.4400 1.3922 N
2.7721 0.9208 1.3922 N
1.3861 -3.2979 0.0000 N
1.3861 -3.2979 2.7844 N
2.7721 -0.9208 4.1766 N
2.7721 -5.4400 4.1766 N
```

Results
ΔE_f (raw)	-1.006	eV/atom

Record 12
A plane-wave DFT calculation with GGA-PBE was carried out for an optimized crystal structure of Ac2YRe2N6.

```
Ac2YRe2N6
1.0
2.9547 1.7059 6.1634
-2.9547 1.7059 6.1634
0.0000 -3.4118 6.1634
Ac Y Re N
2 1 2 6
Cartesian
0.0000 0.0000 3.9224 Ac
0.0000 0.0000 14.5678 Ac
0.0000 0.0000 0.0000 Y
0.0000 0.0000 7.4129 Re
0.0000 0.0000 11.0772 Re
-1.5113 -0.8725 10.5903 N
0.0000 -1.7451 7.8999 N
-1.5113 0.8725 7.8999 N
1.5113 -0.8725 10.5903 N
0.0000 1.7451 10.5903 N
1.5113 0.8725 7.8999 N
```

Results
ΔE_f (raw)	-0.782	eV/atom